Entry from Alexandria: an optimized crystal structure of Al2TeP (PBEsol).

The structure in CIF format:
```
data_Al2TeP
_space_group_name_H-M_alt 'I -4 m 2'
_space_group_IT_number 119
_space_group_name_Hall 'I -4 -2'
_cell_length_a 3.7834
_cell_length_b 3.7834
_cell_length_c 11.2319
_cell_angle_alpha 90.00
_cell_angle_beta 90.00
_cell_angle_gamma 90.00
loop_
_atom_site_label
_atom_site_type_symbol
_atom_site_fract_x
_atom_site_fract_y
_atom_site_fract_z
Al1 Al 0.0000 0.0000 0.0000
Al2 Al 0.0000 0.5000 0.2500
Te1 Te 0.0000 0.5000 0.7500
P1 P 0.0000 0.0000 0.5000
```

Calculated values
total DFT energy (no corrections) = -4.157 eV per atom


Entry from Alexandria: an optimized crystal structure of Cu2NiIr (PBEsol).

The structure in CIF format:
```
data_Cu2NiIr
_space_group_name_H-M_alt 'R 3 m'
_space_group_IT_number 160
_space_group_name_Hall 'R 3 -2"'
_cell_length_a 2.6010
_cell_length_b 2.6010
_cell_length_c 24.5487
_cell_angle_alpha 90.00
_cell_angle_beta 90.00
_cell_angle_gamma 120.00
loop_
_atom_site_label
_atom_site_type_symbol
_atom_site_fract_x
_atom_site_fract_y
_atom_site_fract_z
Cu1 Cu 0.0000 0.0000 0.0000
Cu2 Cu 0.0000 0.0000 0.2519
Ni1 Ni 0.0000 0.0000 0.5050
Ir1 Ir 0.0000 0.0000 0.7549
```

Calculated values
distance to the lowest polymorph of the same formula = 7.1 meV per atom
total DFT energy (no corrections) = -6.094 eV per atom


Entry from Alexandria: an optimized crystal structure of Rb3ZrTa (PBEsol).

The structure in CIF format:
```
data_Rb3ZrTa
_space_group_name_H-M_alt 'P m -3 m'
_space_group_IT_number 221
_space_group_name_Hall '-P 4 2 3'
_cell_length_a 6.5944
_cell_length_b 6.5944
_cell_length_c 6.5944
_cell_angle_alpha 90.00
_cell_angle_beta 90.00
_cell_angle_gamma 90.00
loop_
_atom_site_label
_atom_site_type_symbol
_atom_site_fract_x
_atom_site_fract_y
_atom_site_fract_z
Rb1 Rb 0.0000 0.0000 0.5000
Zr1 Zr 0.0000 0.0000 0.0000
Ta1 Ta 0.5000 0.5000 0.5000
```

Calculated values
total DFT energy (no corrections) = -2.497 eV per atom


Entry from Alexandria: an optimized crystal structure of NbP6W3O24 (PBEsol).

The structure in CIF format:
```
data_NbP6W3O24
_space_group_name_H-M_alt 'R 3'
_space_group_IT_number 146
_space_group_name_Hall 'R 3'
_cell_length_a 8.7069
_cell_length_b 8.7069
_cell_length_c 22.2143
_cell_angle_alpha 90.00
_cell_angle_beta 90.00
_cell_angle_gamma 120.00
loop_
_atom_site_label
_atom_site_type_symbol
_atom_site_fract_x
_atom_site_fract_y
_atom_site_fract_z
Nb1 Nb 0.0000 0.0000 0.0000
P1 P 0.0017 0.2859 0.8913
P2 P 0.0038 0.7198 0.3921
W1 W 0.0000 0.0000 0.2848
W2 W 0.0000 0.0000 0.4993
W3 W 0.0000 0.0000 0.7850
O1 O 0.0264 0.1979 0.5494
O2 O 0.0301 0.8272 0.0502
O3 O 0.0327 0.2010 0.8354
O4 O 0.0345 0.8348 0.3361
O5 O 0.1637 0.4667 0.6137
O6 O 0.1651 0.6949 0.1147
O7 O 0.1667 0.4688 0.8999
O8 O 0.1675 0.6999 0.4005
```

Calculated values
total DFT energy (no corrections) = -8.404 eV per atom


What is the total DFT energy (no corrections) in the fourth record?
-8.404 eV per atom


total DFT energy (no corrections) of number 4 (NbP6W3O24)?
-8.404 eV per atom


Copy entry 4 word for word.
Entry from Alexandria: an optimized crystal structure of NbP6W3O24 (PBEsol).

The structure in CIF format:
```
data_NbP6W3O24
_space_group_name_H-M_alt 'R 3'
_space_group_IT_number 146
_space_group_name_Hall 'R 3'
_cell_length_a 8.7069
_cell_length_b 8.7069
_cell_length_c 22.2143
_cell_angle_alpha 90.00
_cell_angle_beta 90.00
_cell_angle_gamma 120.00
loop_
_atom_site_label
_atom_site_type_symbol
_atom_site_fract_x
_atom_site_fract_y
_atom_site_fract_z
Nb1 Nb 0.0000 0.0000 0.0000
P1 P 0.0017 0.2859 0.8913
P2 P 0.0038 0.7198 0.3921
W1 W 0.0000 0.0000 0.2848
W2 W 0.0000 0.0000 0.4993
W3 W 0.0000 0.0000 0.7850
O1 O 0.0264 0.1979 0.5494
O2 O 0.0301 0.8272 0.0502
O3 O 0.0327 0.2010 0.8354
O4 O 0.0345 0.8348 0.3361
O5 O 0.1637 0.4667 0.6137
O6 O 0.1651 0.6949 0.1147
O7 O 0.1667 0.4688 0.8999
O8 O 0.1675 0.6999 0.4005
```

Calculated values
total DFT energy (no corrections) = -8.404 eV per atom